Compound: Cs2CoHgO4
Source: Alexandria via LeMat-Bulk
Functional: PBE+U
Structure: relaxed

POSCAR file:
```
Cs2CoHgO4
1.0
-5.1971 2.1889 -1.8518
-0.7144 0.4692 -6.9527
-6.7439 -8.9618 -1.1786
Cs Co O Hg
4 2 8 2
Cartesian
-9.1293 -6.2490 -5.5461
-6.1247 1.0397 -5.3630
-5.2417 -5.3174 -1.0870
-6.6994 -1.4555 -1.9434
-5.0284 -3.6991 -4.5286
-2.5985 1.0944 -0.9259
-11.1078 -6.1734 -8.2953
-6.6504 -3.8595 -3.8015
-7.7205 -7.7070 -2.8316
-5.3927 -2.7022 -5.9634
-9.1746 -2.7351 -7.1423
-2.9487 0.5667 -6.4438
-3.5338 0.7062 -2.3955
-4.0932 -3.3108 -3.0590
-7.6270 -2.6047 -5.4545
0.0000 0.0000 0.0000
```

Calculated values
- total energy (eV per formula unit) = -33.68